[1]
{"formula": "ZrTe", "functional": "PBE", "state": "optimized geometry", "lattice_angstrom": [[3.737, 0.000, 0.000], [-1.868, 3.236, 0.000], [0.000, 0.000, 8.140]], "species": ["Zr", "Zr", "Te", "Te"], "fractional_positions": [[0.333, 0.667, 0.250], [0.667, 0.333, 0.750], [0.000, 0.000, 0.000], [0.000, 0.000, 0.500]], "formation_energy_uncorrected_ev_per_atom": -0.624, "density_g_cm3": 7.4, "vol_a3_per_atom": 24.604, "total_energy_ev_per_atom": -6.469}

=====

[2]
{"formula": "NdY3Tl3", "functional": "PBE", "state": "optimized geometry", "lattice_angstrom": [[9.424, 0.000, 0.000], [0.000, 9.424, 0.000], [0.000, 0.000, 9.424]], "species": ["Nd", "Nd", "Nd", "Nd", "Y", "Y", "Y", "Y", "Y", "Y", "Y", "Y", "Y", "Y", "Y", "Y", "Tl", "Tl", "Tl", "Tl", "Tl", "Tl", "Tl", "Tl", "Tl", "Tl", "Tl", "Tl"], "fractional_positions": [[0.072, 0.428, 0.572], [0.428, 0.572, 0.072], [0.572, 0.072, 0.428], [0.928, 0.928, 0.928], [0.078, 0.578, 0.922], [0.179, 0.179, 0.179], [0.179, 0.821, 0.321], [0.321, 0.179, 0.821], [0.321, 0.821, 0.679], [0.422, 0.422, 0.422], [0.578, 0.922, 0.078], [0.679, 0.321, 0.821], [0.679, 0.679, 0.679], [0.821, 0.321, 0.179], [0.821, 0.679, 0.321], [0.922, 0.078, 0.578], [0.000, 0.255, 0.883], [0.000, 0.755, 0.617], [0.117, 0.500, 0.245], [0.245, 0.117, 0.500], [0.255, 0.883, 0.000], [0.383, 0.500, 0.745], [0.500, 0.245, 0.117], [0.500, 0.745, 0.383], [0.617, 0.000, 0.755], [0.745, 0.383, 0.500], [0.755, 0.617, 0.000], [0.883, 0.000, 0.255]], "formation_energy_ev_per_fu": -2.020, "density_g_cm3": 8.1, "vol_a3_per_atom": 29.888, "total_energy_ev_per_atom": -4.754}

=====

[3]
{"formula": "La2SbAsRh6", "functional": "PBE", "state": "optimized geometry", "lattice_angstrom": [[5.524, 0.000, 0.000], [0.000, 8.734, 0.000], [0.000, 0.000, 8.432]], "species": ["La", "La", "La", "La", "Sb", "Sb", "As", "As", "Rh", "Rh", "Rh", "Rh", "Rh", "Rh", "Rh", "Rh", "Rh", "Rh", "Rh", "Rh"], "fractional_positions": [[0.250, 0.007, 0.217], [0.250, 0.493, 0.217], [0.750, 0.507, 0.783], [0.750, 0.993, 0.783], [0.250, 0.250, 0.764], [0.750, 0.750, 0.236], [0.250, 0.750, 0.744], [0.750, 0.250, 0.256], [0.003, 0.750, 0.981], [0.004, 0.250, 0.493], [0.250, 0.501, 0.585], [0.250, 0.999, 0.585], [0.496, 0.250, 0.493], [0.497, 0.750, 0.981], [0.503, 0.250, 0.019], [0.504, 0.750, 0.507], [0.750, 0.001, 0.415], [0.750, 0.499, 0.415], [0.996, 0.750, 0.507], [0.997, 0.250, 0.019]], "formation_energy_uncorrected_ev_per_atom": -0.629, "density_g_cm3": 8.9, "vol_a3_per_atom": 20.341, "total_energy_ev_per_atom": -6.902}

=====

[4]
{"formula": "NdHo2Mg5", "functional": "PBE", "state": "optimized geometry", "lattice_angstrom": [[-2.637, 2.637, 7.599], [2.637, -2.637, 7.599], [2.637, 2.637, -7.599]], "species": ["Nd", "Ho", "Ho", "Mg", "Mg", "Mg", "Mg", "Mg"], "fractional_positions": [[0.000, 0.000, 0.000], [0.258, 0.258, 0.000], [0.742, 0.742, 0.000], [0.122, 0.622, 0.500], [0.378, 0.878, 0.500], [0.500, 0.500, 0.000], [0.622, 0.122, 0.500], [0.878, 0.378, 0.500]], "formation_energy_ev_per_fu": -0.667, "density_g_cm3": 4.7, "vol_a3_per_atom": 26.423, "total_energy_ev_per_atom": -2.820}

=====

[5]
{"formula": "Mo5W", "functional": "PBE", "state": "optimized geometry", "lattice_angstrom": [[4.786, 0.000, 0.000], [-2.393, 4.145, 0.000], [0.000, 0.000, 4.916]], "species": ["Mo", "Mo", "Mo", "Mo", "Mo", "W"], "fractional_positions": [[0.000, 0.668, 0.000], [0.332, 0.332, 0.000], [0.333, 0.667, 0.500], [0.667, 0.333, 0.500], [0.668, 0.000, 0.000], [0.000, 0.000, 0.500]], "formation_energy_ev_per_fu": 2.536, "density_g_cm3": 11.3, "vol_a3_per_atom": 16.252, "total_energy_ev_per_atom": -10.762}

=====

[6]
{"formula": "Ag7Te3Se", "functional": "PBE", "state": "optimized geometry", "lattice_angstrom": [[4.715, -4.633, 0.000], [4.715, 4.633, 0.000], [-4.584, 0.000, 6.377]], "species": ["Ag", "Ag", "Ag", "Ag", "Ag", "Ag", "Ag", "Te", "Te", "Te", "Se"], "fractional_positions": [[0.000, 0.000, 0.000], [0.035, 0.542, 0.974], [0.229, 0.229, 0.469], [0.301, 0.770, 0.446], [0.459, 0.459, 0.934], [0.542, 0.035, 0.974], [0.770, 0.301, 0.446], [0.141, 0.666, 0.706], [0.666, 0.141, 0.706], [0.848, 0.848, 0.231], [0.358, 0.358, 0.210]], "formation_energy_uncorrected_ev_per_atom": -0.038, "density_g_cm3": 7.3, "vol_a3_per_atom": 25.328, "total_energy_ev_per_atom": -3.026}